# PBE NaFeMo2, optimized geometry
# space group = Fm-3m (225)
# crystal system = cubic
# formation energy from the elements = 407 kJ/mol of formula units
# E_tot = -6.807 eV per atom
data_NaFeMo2
_chemical_formula_sum 'Na1 Fe1 Mo2'
_symmetry_space_group_name_H-M 'P 1'
_symmetry_Int_Tables_number 1
_cell_length_a 4.352
_cell_length_b 4.352
_cell_length_c 4.352
_cell_angle_alpha 60.00
_cell_angle_beta 60.00
_cell_angle_gamma 60.00
loop_
_symmetry_equiv_pos_as_xyz
'x,y,z'
loop_
_atom_site_label
_atom_site_fract_x
_atom_site_fract_y
_atom_site_fract_z
Na1 0.000 0.000 0.000
Fe1 0.500 0.500 0.500
Mo1 0.250 0.250 0.250
Mo2 0.750 0.750 0.750